No. 1
# Ti2TlCl6

A relaxed structure of Ti2TlCl6 (PBE, the Alexandria database).

As for the energy relative to the elements, uncorrected: -1.432 eV per atom.

The structure belongs to space group P-31m (No. 162); the cell edges are 6.1770, 6.1770 and 7.6979 Å and the angles 90.00°, 90.00° and 120.00°. Symmetry generates all atoms from Ti at (0.3333, 0.6667, 0.0000), Tl at (0.0000, 0.0000, 0.5000) and Cl at (0.0000, 0.3479, 0.8133).

---

No. 2
# CePmN2

A relaxed structure of CePmN2 (PBE, the Alexandria database).

As for the energy relative to the elements, uncorrected: -1.490 eV per atom. The energy above the most stable polymorph in this dataset is 0 meV/atom.

The structure belongs to space group R-3m (No. 166, hexagonal axes); the cell edges are 3.5874, 3.5874 and 17.5633 Å and the angles 90.00°, 90.00° and 120.00°. Symmetry generates all atoms from Ce at (0.0000, 0.0000, 0.0000), Pm at (0.0000, 0.0000, 0.5000) and N at (0.0000, 0.0000, 0.2542).

---

No. 3
# YBeIn

A relaxed structure of YBeIn (PBE, the Alexandria database).

The calculation puts the formation energy at -0.23 eV/atom. The energy above the most stable polymorph in this dataset is 36 meV/atom.

The structure belongs to space group P3m1 (No. 156); the cell edges are 4.4380, 4.4380 and 3.6999 Å and the angles 90.00°, 90.00° and 120.00°. Symmetry generates all atoms from Y at (0.0000, 0.0000, 0.0000), Be at (0.6667, 0.3333, 0.5022) and In at (0.3333, 0.6667, 0.4998).

---

No. 4
# NbRh3

A relaxed structure of NbRh3 (PBE, the Alexandria database).

The calculation puts the formation energy at -0.32 eV/atom.

The structure belongs to space group Imm2 (No. 44); the cell edges are 2.8209, 8.8797 and 4.8023 Å and the angles 90.00°, 90.00° and 90.00°. Symmetry generates all atoms from Nb at (0.0000, 0.0000, 0.0000), Rh at (0.0000, 0.2504, 0.6628) and Rh at (0.0000, 0.5000, 0.0071).

---

No. 5
# As3Os2

A relaxed structure of As3Os2 (PBE, the Alexandria database).

The calculation puts the formation energy at 0.18 eV/atom.

The structure belongs to space group R-3m (No. 166, hexagonal axes); the cell edges are 3.0235, 3.0235 and 35.2199 Å and the angles 90.00°, 90.00° and 120.00°. Symmetry generates all atoms from As at (0.0000, 0.0000, 0.0000), As at (0.0000, 0.0000, 0.2250) and Os at (0.0000, 0.0000, 0.3905).

---

No. 6
# Si2SbRu

A relaxed structure of Si2SbRu (PBE, the Alexandria database).

As for the energy relative to the elements, uncorrected: 0.241 eV per atom.

The structure belongs to space group I-42d (No. 122); the cell edges are 5.7794, 5.7794 and 11.1347 Å and the angles 90.00°, 90.00° and 90.00°. Symmetry generates all atoms from Si at (0.1960, 0.2500, 0.1250), Sb at (0.0000, 0.0000, 0.5000) and Ru at (0.0000, 0.0000, 0.0000).

---

No. 7
# ZnGe2Se

A relaxed structure of ZnGe2Se (PBE, the Alexandria database).

As for the energy relative to the elements, uncorrected: 0.317 eV per atom. The energy above the most stable polymorph in this dataset is 229 meV/atom.

The structure belongs to space group Fm-3m (No. 225); the cell edges are 6.8196, 6.8196 and 6.8196 Å and the angles 90.00°, 90.00° and 90.00°. Symmetry generates all atoms from Zn at (0.0000, 0.0000, 0.0000), Ge at (0.2500, 0.2500, 0.2500) and Se at (0.0000, 0.0000, 0.5000).

---

Taking the records one at a time from the top gives volume values of 28.3; 16.3; 21.0; 15.0; 18.6; 23.2; 19.8 Å³/atom.